(1)
# CrAuCl2, relaxed, DFT GGA-PBE
data_CrAuCl2
_cell_length_a 6.7579
_cell_length_b 7.7924
_cell_length_c 4.7764
_cell_angle_alpha 90.00
_cell_angle_beta 132.96
_cell_angle_gamma 90.00
_space_group_name_H-M_alt 'C 1 2/m 1'
_space_group_IT_number 12
loop_
_space_group_symop_operation_xyz
'x,y,z'
'-x,-y,-z'
'-x,y,-z'
'x,-y,z'
'x+1/2,y+1/2,z'
'-x+1/2,-y+1/2,-z'
'-x+1/2,y+1/2,-z'
'x+1/2,-y+1/2,z'
loop_
_atom_site_label
_atom_site_type_symbol
_atom_site_fract_x
_atom_site_fract_y
_atom_site_fract_z
_atom_site_occupancy
Cr1 Cr 0.0000 0.0000 0.0000 1
Au1 Au 0.0000 0.5000 0.0000 1
Cl1 Cl 0.2500 0.2500 0.5000 1
# crystal system	monoclinic
# excess energy over the best structure of this formula in the dataset	39.32	kJ/mol of atoms
# E_tot	-4.15	eV per atom

---

(2)
# Tl8Hg4Sb3, relaxed, DFT GGA-PBE
data_Tl8Hg4Sb3
_cell_length_a 9.2196
_cell_length_b 9.2196
_cell_length_c 23.5202
_cell_angle_alpha 90.00
_cell_angle_beta 90.00
_cell_angle_gamma 120.00
_space_group_name_H-M_alt 'R -3 m'
_space_group_IT_number 166
_space_group_name_Hall '-R 3 2"'
loop_
_atom_site_label
_atom_site_type_symbol
_atom_site_fract_x
_atom_site_fract_y
_atom_site_fract_z
_atom_site_occupancy
Tl1 Tl 0.0000 0.0000 0.2303 1
Tl2 Tl 0.0246 0.5123 0.7565 1
Hg1 Hg 0.0000 0.0000 0.0000 1
Hg2 Hg 0.0000 0.0000 0.3587 1
Hg3 Hg 0.0000 0.0000 0.5000 1
Sb1 Sb 0.0000 0.5000 0.5000 1
# crystal system	trigonal
# E_tot	-2.12	eV per atom

---

(3)
# ZnFeRh2C, relaxed, DFT GGA-PBE
data_ZnFeRh2C
_cell_length_a 4.0690
_cell_length_b 4.0690
_cell_length_c 3.7840
_cell_angle_alpha 90.00
_cell_angle_beta 90.00
_cell_angle_gamma 90.00
_space_group_name_H-M_alt 'P 4/m m m'
_space_group_IT_number 123
_space_group_name_Hall '-P 4 2'
loop_
_atom_site_label
_atom_site_type_symbol
_atom_site_fract_x
_atom_site_fract_y
_atom_site_fract_z
_atom_site_occupancy
Zn1 Zn 0.0000 0.0000 0.0000 1
Fe1 Fe 0.5000 0.5000 0.0000 1
Rh1 Rh 0.0000 0.5000 0.5000 1
C1 C 0.5000 0.5000 0.5000 1
# crystal system	tetragonal
# energy of formation from the pure elements	-0.0376	eV/atom
# E_tot	-6.77	eV per atom